Below is a relaxed structure of DyTmInRh, with properties calculated at the PBE level.

```
4
Lattice="-0.539 -4.756 1.649 1.679 -1.290 4.598 -3.297 -1.039 3.699" Properties=species:S:1:pos:R:3 pbc="T T T"
In -1.078 -3.543 4.973
Rh 0.000 0.000 0.000
Dy -0.539 -1.771 2.486
Tm -1.618 -5.314 7.459
```

Values from the calculation:
offset from the most stable computed form = 121 meV/atom
N(E_F) = 0.447 states/eV per atom
formation energy from the elements = -580 meV per atom
energy = -5.37 eV per atom
SG = F-43m
crystal system = cubic